Record 1
Below is a geometry-optimized Ba2ZrAl structure, with properties calculated at the PBEsol level.

Summary:
- Space group: Cm (8)
- ΔE_f: 97 kJ/mol of formula units
- Final energy: -4.12 eV per atom

Geometry as POSCAR:
```
Ba2ZrAl
1.0
3.546 0.000 0.000
0.000 6.142 0.214
-1.773 -2.542 5.928
Ba Zr Al
2 1 1
Direct
0.966 0.924 0.931
0.769 0.305 0.537
0.551 0.499 0.103
0.214 0.772 0.429
```



Record 2
Below is a geometry-optimized BeAl3 structure, with properties calculated at the PBEsol level.

Summary:
- Space group: R-3m (166)
- ΔE_f: 113 kJ/mol of formula units
- Final energy: -3.78 eV per atom

Geometry as POSCAR:
```
BeAl3
1.0
2.718 0.000 0.000
-0.906 4.989 0.000
-0.906 -2.495 4.321
Be Al
1 3
Direct
0.000 0.000 0.000
0.500 0.000 0.500
0.000 0.500 0.500
0.500 0.500 0.000
```



Record 3
Below is a geometry-optimized Be2Al structure, with properties calculated at the PBEsol level.

Summary:
- Space group: P6_3/mmc (194)
- ΔE_f: 25 kJ/mol of formula units
- Final energy: -3.94 eV per atom

Geometry as POSCAR:
```
Be2Al
1.0
-1.185 -4.199 -0.877
3.821 0.837 2.122
-6.910 -0.707 12.719
Be Al
16 8
Direct
0.333 0.667 0.876
0.667 0.333 0.124
0.667 0.333 0.376
0.333 0.667 0.624
0.000 0.500 0.000
0.500 0.000 0.000
0.500 0.500 0.000
0.000 0.500 0.500
0.500 0.000 0.500
0.500 0.500 0.500
0.667 0.833 0.750
0.167 0.333 0.750
0.167 0.833 0.750
0.333 0.167 0.250
0.833 0.667 0.250
0.833 0.167 0.250
0.000 0.000 0.906
0.000 0.000 0.094
0.000 0.000 0.406
0.000 0.000 0.594
0.333 0.667 0.156
0.667 0.333 0.844
0.667 0.333 0.656
0.333 0.667 0.344
```



> Look up the final energy of the third one.

-3.94 eV per atom



> Among the records above, which one has the lowest ΔE_f?

Be2Al



What did the third record say?
Below is a geometry-optimized Be2Al structure, with properties calculated at the PBEsol level.

Summary:
- Space group: P6_3/mmc (194)
- ΔE_f: 25 kJ/mol of formula units
- Final energy: -3.94 eV per atom

Geometry as POSCAR:
```
Be2Al
1.0
-1.185 -4.199 -0.877
3.821 0.837 2.122
-6.910 -0.707 12.719
Be Al
16 8
Direct
0.333 0.667 0.876
0.667 0.333 0.124
0.667 0.333 0.376
0.333 0.667 0.624
0.000 0.500 0.000
0.500 0.000 0.000
0.500 0.500 0.000
0.000 0.500 0.500
0.500 0.000 0.500
0.500 0.500 0.500
0.667 0.833 0.750
0.167 0.333 0.750
0.167 0.833 0.750
0.333 0.167 0.250
0.833 0.667 0.250
0.833 0.167 0.250
0.000 0.000 0.906
0.000 0.000 0.094
0.000 0.000 0.406
0.000 0.000 0.594
0.333 0.667 0.156
0.667 0.333 0.844
0.667 0.333 0.656
0.333 0.667 0.344
```



> Which value of ΔE_f does entry 1 give?

97 kJ/mol of formula units